Here is crystalline NaMnBF6 at its relaxed geometry from Alexandria via LeMat-Bulk. Energies are from GGA+U.

Geometry as CIF:
```
data_NaMnBF6
_symmetry_space_group_name_H-M 'P 3 1 2'
_symmetry_Int_Tables_number 149
_cell_length_a 5.0983
_cell_length_b 5.0983
_cell_length_c 4.7934
_cell_angle_alpha 90.00
_cell_angle_beta 90.00
_cell_angle_gamma 120.00
loop_
_symmetry_equiv_pos_as_xyz
'x,y,z'
'-y,x-y,z'
'-x+y,-x,z'
'-y,-x,-z'
'-x+y,y,-z'
'x,x-y,-z'
loop_
_atom_site_label
_atom_site_type_symbol
_atom_site_fract_x
_atom_site_fract_y
_atom_site_fract_z
Na1 Na 0.0000 0.0000 0.0000
Mn1 Mn 0.3333 0.6667 0.5000
B1 B 0.6667 0.3333 0.5000
F1 F 0.4043 0.0688 0.6986
```

Properties
- Uncorrected energy: -5.441 eV/atom
- Magnetization: 5.0 μB/cell